Here is a relaxed structure of Tm3Ta3Mo2N12 from the Open Quantum Materials Database. Energies are from GGA-PBE.

Calculated values
Its density is 9.137 g cm⁻³. As for the space group: Ia-3d, No. 230. The calculation puts the total energy at -9.4112 eV per atom.

Cell: 11.0002 11.0002 11.0002 Å, 109.47 109.47 109.47°
Sites, in units of the cell vectors:
Mo 0.0000 0.0000 0.0000
Mo 0.5000 0.0000 0.0000
Mo 0.0000 0.5000 0.0000
Mo 0.5000 0.5000 0.0000
Mo 0.0000 0.0000 0.5000
Mo 0.5000 0.0000 0.5000
Mo 0.0000 0.5000 0.5000
Mo 0.5000 0.5000 0.5000
N 0.2036 0.1183 0.0276
N 0.3240 0.9093 0.0276
N 0.8817 0.4093 0.0853
N 0.7036 0.6760 0.0853
N 0.6183 0.4147 0.0907
N 0.9724 0.6760 0.0907
N 0.0276 0.2036 0.1183
N 0.5907 0.9147 0.1183
N 0.2036 0.5853 0.1760
N 0.4724 0.5907 0.1760
N 0.5853 0.1760 0.2036
N 0.1183 0.0276 0.2036
N 0.4724 0.3817 0.2964
N 0.3240 0.9147 0.2964
N 0.9093 0.0276 0.3240
N 0.9147 0.2964 0.3240
N 0.2964 0.4724 0.3817
N 0.5853 0.9093 0.3817
N 0.8240 0.5276 0.4093
N 0.0853 0.8817 0.4093
N 0.0907 0.6183 0.4147
N 0.8240 0.7964 0.4147
N 0.5907 0.1760 0.4724
N 0.3817 0.2964 0.4724
N 0.6183 0.7036 0.5276
N 0.4093 0.8240 0.5276
N 0.1760 0.2036 0.5853
N 0.9093 0.3817 0.5853
N 0.9147 0.1183 0.5907
N 0.1760 0.4724 0.5907
N 0.4147 0.0907 0.6183
N 0.7036 0.5276 0.6183
N 0.0853 0.7036 0.6760
N 0.0907 0.9724 0.6760
N 0.6760 0.0853 0.7036
N 0.5276 0.6183 0.7036
N 0.4147 0.8240 0.7964
N 0.8817 0.9724 0.7964
N 0.5276 0.4093 0.8240
N 0.7964 0.4147 0.8240
N 0.4093 0.0853 0.8817
N 0.9724 0.7964 0.8817
N 0.0276 0.3240 0.9093
N 0.3817 0.5853 0.9093
N 0.2964 0.3240 0.9147
N 0.1183 0.5907 0.9147
N 0.6760 0.0907 0.9724
N 0.7964 0.8817 0.9724
Ta 0.8750 0.2500 0.1250
Ta 0.7500 0.8750 0.1250
Ta 0.6250 0.3750 0.2500
Ta 0.1250 0.8750 0.2500
Ta 0.2500 0.6250 0.3750
Ta 0.6250 0.7500 0.3750
Ta 0.3750 0.2500 0.6250
Ta 0.7500 0.3750 0.6250
Ta 0.8750 0.1250 0.7500
Ta 0.3750 0.6250 0.7500
Ta 0.2500 0.1250 0.8750
Ta 0.1250 0.7500 0.8750
Tm 0.3750 0.7500 0.1250
Tm 0.2500 0.3750 0.1250
Tm 0.3750 0.1250 0.2500
Tm 0.8750 0.6250 0.2500
Tm 0.7500 0.1250 0.3750
Tm 0.1250 0.2500 0.3750
Tm 0.8750 0.7500 0.6250
Tm 0.2500 0.8750 0.6250
Tm 0.1250 0.3750 0.7500
Tm 0.6250 0.8750 0.7500
Tm 0.6250 0.2500 0.8750
Tm 0.7500 0.6250 0.8750

Here is a relaxed structure of PmErHg from the Open Quantum Materials Database. Energies are from GGA-PBE.

Calculated values
Its density is 8.902 g cm⁻³. For the formation energy, the calculation gives -102.3 meV per atom. As for the space group: F-43m, No. 216. The calculation puts the total energy at -3.3043 eV per atom.

Cell: 5.1336 5.1336 5.1336 Å, 60.00 60.00 60.00°
Sites, in units of the cell vectors:
Er 0.2500 0.2500 0.2500
Hg 0.0000 0.0000 0.0000
Pm 0.7500 0.7500 0.7500

Here is a relaxed structure of KNdSeO from the Open Quantum Materials Database. Energies are from GGA-PBE.

Calculated values
Its density is 3.544 g cm⁻³. As for the space group: Pmc2_1, No. 26. The calculation puts the total energy at -5.6495 eV per atom.

Cell: 4.7081 8.3013 6.6721 Å, 90.00 90.00 90.00°
Sites, in units of the cell vectors:
K 0.0000 0.2993 0.1158
K 0.0000 0.7007 0.6158
Nd 0.5000 0.8725 0.0367
Nd 0.5000 0.1275 0.5367
O 0.5000 0.0985 0.2081
O 0.5000 0.9015 0.7081
Se 0.0000 0.6931 0.1304
Se 0.0000 0.3069 0.6304

Here is a relaxed structure of Cs2Gd2AsP from the Open Quantum Materials Database. Energies are from GGA-PBE.

Calculated values
Its density is 5.163 g cm⁻³. As for the space group: P4mm, No. 99. The calculation puts the total energy at -4.2139 eV per atom.

Cell: 5.0629 5.0629 8.6098 Å, 90.00 90.00 90.00°
Sites, in units of the cell vectors:
As 0.0000 0.0000 0.6669
Cs 0.0000 0.0000 0.1273
Cs 0.5000 0.5000 0.8712
Gd 0.5000 0.0000 0.4952
Gd 0.0000 0.5000 0.4952
P 0.5000 0.5000 0.3443

Here is a relaxed structure of GdSi2NiAu from the Open Quantum Materials Database. Energies are from GGA-PBE.

Calculated values
Its density is 9.197 g cm⁻³. As for the space group: I-4m2, No. 119. The calculation puts the total energy at -5.5583 eV per atom.

Cell: 5.8031 5.8031 5.8031 Å, 138.57 138.57 60.03°
Sites, in units of the cell vectors:
Au 0.5000 0.5000 0.0000
Gd 0.2500 0.7500 0.5000
Ni 0.0000 0.0000 0.0000
Si 0.6338 0.1338 0.5000
Si 0.8662 0.3662 0.5000

Here is a relaxed structure of Th2SiGe from the Open Quantum Materials Database. Energies are from GGA-PBE.

Calculated values
Its density is 8.472 g cm⁻³. As for the space group: P2/c, No. 13. The calculation puts the total energy at -6.9177 eV per atom.

Cell: 6.0487 6.0488 13.5297 Å, 90.00 116.55 90.00°
Sites, in units of the cell vectors:
Ge 0.1248 0.2511 0.1250
Ge 0.8752 0.2511 0.3750
Ge 0.1248 0.7489 0.6250
Ge 0.8752 0.7489 0.8750
Si 0.6239 0.7509 0.1250
Si 0.3761 0.7509 0.3750
Si 0.6239 0.2491 0.6250
Si 0.3761 0.2491 0.8750
Th 0.6238 0.2509 0.1235
Th 0.1256 0.7513 0.1264
Th 0.8744 0.7513 0.3736
Th 0.3762 0.2509 0.3765
Th 0.6238 0.7491 0.6235
Th 0.1256 0.2487 0.6264
Th 0.8744 0.2487 0.8736
Th 0.3762 0.7491 0.8765

Here is a relaxed structure of Y4Ta2Fe3C3 from the Open Quantum Materials Database. Energies are from GGA-PBE.

Calculated values
Its density is 7.602 g cm⁻³. As for the space group: C2/c, No. 15. The calculation puts the total energy at -8.6195 eV per atom.

Cell: 5.7619 5.7619 14.3420 Å, 101.39 101.39 60.23°
Sites, in units of the cell vectors:
C 0.0000 0.5000 0.0000
C 0.3448 0.7929 0.0006
C 0.2071 0.6552 0.4994
C 0.5000 0.0000 0.5000
C 0.7929 0.3448 0.5006
C 0.6552 0.2071 0.9994
Fe 0.5771 0.8895 0.2478
Fe 0.5269 0.4731 0.2500
Fe 0.1105 0.4229 0.2522
Fe 0.8895 0.5771 0.7478
Fe 0.4731 0.5269 0.7500
Fe 0.4229 0.1105 0.7522
Ta 0.7047 0.5232 0.0811
Ta 0.4768 0.2953 0.4189
Ta 0.5232 0.7047 0.5811
Ta 0.2953 0.4768 0.9189
Y 0.3705 0.1851 0.0971
Y 0.0385 0.8736 0.1189
Y 0.1264 0.9615 0.3811
Y 0.8149 0.6295 0.4029
Y 0.1851 0.3705 0.5971
Y 0.8736 0.0385 0.6189
Y 0.9615 0.1264 0.8811
Y 0.6295 0.8149 0.9029

Here is a relaxed structure of GdGaO3 from the Open Quantum Materials Database. Energies are from GGA-PBE.

Calculated values
Its density is 7.724 g cm⁻³. As for the space group: P4mm, No. 99. The calculation puts the total energy at -7.0563 eV per atom.

Cell: 3.6839 3.6839 4.3559 Å, 90.00 90.00 90.00°
Sites, in units of the cell vectors:
Ga 0.5000 0.5000 0.5296
Gd 0.0000 0.0000 0.9699
O 0.5000 0.5000 0.1066
O 0.5000 0.0000 0.6470
O 0.0000 0.5000 0.6470

Here is a relaxed structure of NdTlNiTe3 from the Open Quantum Materials Database. Energies are from GGA-PBE.

Calculated values
Its density is 7.408 g cm⁻³. As for the space group: Pnma, No. 62. The calculation puts the total energy at -4.3455 eV per atom.

Cell: 12.6972 4.3066 12.9549 Å, 90.00 90.00 90.00°
Sites, in units of the cell vectors:
Nd 0.4599 0.5000 0.1893
Nd 0.9599 0.5000 0.3107
Nd 0.0401 0.0000 0.6893
Nd 0.5401 0.0000 0.8107
Ni 0.7655 0.0000 0.1854
Ni 0.2655 0.0000 0.3146
Ni 0.7345 0.5000 0.6854
Ni 0.2345 0.5000 0.8146
Te 0.6018 0.0000 0.0646
Te 0.9603 0.0000 0.1369
Te 0.2110 0.5000 0.2236
Te 0.7110 0.5000 0.2764
Te 0.4603 0.0000 0.3631
Te 0.1018 0.0000 0.4354
Te 0.8982 0.5000 0.5646
Te 0.5397 0.5000 0.6369
Te 0.2890 0.0000 0.7236
Te 0.7890 0.0000 0.7764
Te 0.0397 0.5000 0.8631
Te 0.3982 0.5000 0.9354
Tl 0.8069 0.5000 0.0004
Tl 0.3069 0.5000 0.4996
Tl 0.6931 0.0000 0.5004
Tl 0.1931 0.0000 0.9996

Here is a relaxed structure of Gd2PbC4S from the Open Quantum Materials Database. Energies are from GGA-PBE.

Calculated values
Its density is 7.152 g cm⁻³. As for the space group: P-6m2, No. 187. The calculation puts the total energy at -6.1983 eV per atom.

Cell: 4.3636 4.3636 8.4737 Å, 90.00 90.00 120.00°
Sites, in units of the cell vectors:
C 0.3333 0.6667 0.0796
C 0.0000 0.0000 0.4238
C 0.0000 0.0000 0.5762
C 0.3333 0.6667 0.9204
Gd 0.6667 0.3333 0.3102
Gd 0.6667 0.3333 0.6898
Pb 0.0000 0.0000 0.0000
S 0.3333 0.6667 0.5000

Here is a relaxed structure of SrHoIn4Ni2 from the Open Quantum Materials Database. Energies are from GGA-PBE.

Calculated values
Its density is 7.748 g cm⁻³. As for the space group: Amm2, No. 38. The calculation puts the total energy at -3.9086 eV per atom.

Cell: 7.6965 5.7195 5.7195 Å, 44.90 90.00 90.00°
Sites, in units of the cell vectors:
Ho 0.0000 0.5610 0.5610
In 0.2962 0.1493 0.1493
In 0.7038 0.1493 0.1493
In 0.1931 0.8500 0.8500
In 0.8069 0.8500 0.8500
Ni 0.0000 0.2821 0.2821
Ni 0.5000 0.7194 0.7194
Sr 0.5000 0.4388 0.4388

Here is a relaxed structure of Dy2Ho2CI3Cl2 from the Open Quantum Materials Database. Energies are from GGA-PBE.

Calculated values
Its density is 6.309 g cm⁻³. As for the space group: C2/m, No. 12. The calculation puts the total energy at -4.9247 eV per atom.

Cell: 9.3117 9.3117 8.4556 Å, 99.59 99.59 24.05°
Sites, in units of the cell vectors:
C 0.5000 0.5000 0.0000
Cl 0.1496 0.1496 0.2902
Cl 0.8504 0.8504 0.7098
Dy 0.9980 0.9980 0.1909
Dy 0.0020 0.0020 0.8091
Ho 0.6326 0.6326 0.0618
Ho 0.3674 0.3674 0.9382
I 0.8248 0.8248 0.1894
I 0.5000 0.5000 0.5000
I 0.1752 0.1752 0.8106